# NaBTeOs

A relaxed structure of NaBTeOs (PBE, OQMD).

Cell: 4.485 4.485 4.485 Å, 60.00 60.00 60.00°
Fractional positions:
Na 0.000 0.000 0.000
B 0.500 0.500 0.500
Te 0.250 0.250 0.250
Os 0.750 0.750 0.750


# NaBTeOs

A relaxed structure of NaBTeOs (PBE, OQMD).

Cell: 4.436 4.436 4.436 Å, 60.00 60.00 60.00°
Fractional positions:
Na 0.000 0.000 0.000
B 0.750 0.750 0.750
Te 0.250 0.250 0.250
Os 0.500 0.500 0.500


# NaBTeOs

A relaxed structure of NaBTeOs (PBE, OQMD).

Cell: 4.544 4.544 4.544 Å, 60.00 60.00 60.00°
Fractional positions:
Na 0.000 0.000 0.000
B 0.250 0.250 0.250
Te 0.500 0.500 0.500
Os 0.750 0.750 0.750


# NaBOsW

A relaxed structure of NaBOsW (PBE, OQMD).

Cell: 4.227 4.227 4.227 Å, 60.00 60.00 60.00°
Fractional positions:
Na 0.000 0.000 0.000
B 0.750 0.750 0.750
Os 0.500 0.500 0.500
W 0.250 0.250 0.250


Total magnetic moment / μB per atom: 0.001; 0.002; 0.004; 0.001
Energy relative to the lowest polymorph listed for this composition / meV per atom: 551; 0; 459; 0